# 1
Here is a relaxed YTcCl2 crystal from Alexandria. Energies are from GGA-PBE.

a b c (Å): 10.299 10.299 10.299
angles (deg): 19.08 19.08 19.08
Last column: magnetic moment on the atom in μB.
Positions (direct):
Tc 0.250 0.250 0.250  3.41
Cl 0.021 0.021 0.021  0.00
Cl 0.479 0.479 0.479  0.00
Y 0.750 0.750 0.750  -0.19

# 2
Here is a relaxed YTc2Cl crystal from Alexandria. Energies are from GGA-PBE.

a b c (Å): 8.935 8.935 8.935
angles (deg): 19.93 19.93 19.93
Last column: magnetic moment on the atom in μB.
Positions (direct):
Cl 0.750 0.750 0.750  0.01
Tc 0.492 0.492 0.492  0.40
Tc 0.008 0.008 0.008  0.40
Y 0.250 0.250 0.250  0.00

# 3
Here is a relaxed YTc2Cl crystal from Alexandria. Energies are from GGA-PBE.

a b c (Å): 7.460 7.460 5.912
angles (deg): 50.88 50.88 90.00
Positions (direct):
Cl 0.250 0.750 0.500
Cl 0.500 0.500 0.000
Tc 0.530 0.125 0.250
Tc 0.220 0.625 0.250
Tc 0.875 0.780 0.750
Tc 0.375 0.470 0.750
Y 0.750 0.250 0.500
Y 0.000 0.000 0.000

# 4
Here is a relaxed YTc2Cl crystal from Alexandria. Energies are from GGA-PBE.

a b c (Å): 7.665 7.665 7.665
angles (deg): 30.29 30.29 30.29
Positions (direct):
Tc 0.265 0.265 0.265
Tc 0.954 0.954 0.954
Y 0.512 0.512 0.512
Cl 0.769 0.769 0.769

# 5
Here is a relaxed YTc2Cl crystal from Alexandria. Energies are from GGA-PBE.

a b c (Å): 4.534 4.534 4.534
angles (deg): 112.88 112.88 102.85
Positions (direct):
Tc 0.000 0.000 0.000
Tc 0.250 0.750 0.500
Cl 0.750 0.250 0.500
Y 0.500 0.500 0.000

# 6
Here is a relaxed YTcCl2 crystal from Alexandria. Energies are from GGA-PBE.

a b c (Å): 3.210 3.210 8.814
angles (deg): 90.00 90.00 90.02
Positions (direct):
Tc 0.000 0.000 0.489
Cl 0.000 0.000 0.930
Cl 0.500 0.500 0.350
Y 0.500 0.500 0.732

# 7
Here is a relaxed YTcCl2 crystal from Alexandria. Energies are from GGA-PBE.

a b c (Å): 8.983 8.983 8.983
angles (deg): 20.85 20.85 20.85
Last column: magnetic moment on the atom in μB.
Positions (direct):
Cl 0.909 0.909 0.909  0.01
Cl 0.091 0.091 0.091  0.01
Tc 0.000 0.000 0.000  1.40
Y 0.500 0.500 0.500  0.01

# 8
Here is a relaxed YTcCl2 crystal from Alexandria. Energies are from GGA-PBE.

a b c (Å): 7.080 7.080 4.702
angles (deg): 87.20 87.20 28.60
Last column: magnetic moment on the atom in μB.
Positions (direct):
Cl 0.392 0.392 0.528  0.03
Cl 0.108 0.108 0.972  0.03
Tc 0.250 0.250 0.250  1.39
Y 0.750 0.750 0.750  -0.10

# 9
Here is a relaxed YTc2Cl crystal from Alexandria. Energies are from GGA-PBE.

a b c (Å): 4.635 4.635 4.635
angles (deg): 60.00 60.00 60.00
Positions (direct):
Tc 0.250 0.250 0.250
Tc 0.750 0.750 0.750
Cl 0.000 0.000 0.000
Y 0.500 0.500 0.500

# 10
Here is a relaxed YTc2Cl crystal from Alexandria. Energies are from GGA-PBE.

a b c (Å): 3.152 4.753 5.525
angles (deg): 90.00 90.00 90.00
Positions (direct):
Y 0.500 0.500 0.250
Cl 0.500 0.500 0.750
Tc 0.000 0.000 0.447
Tc 0.000 0.000 0.053

# 11
Here is a relaxed YTc2Cl2 crystal from Alexandria. Energies are from GGA-PBE.

a b c (Å): 4.120 4.120 6.048
angles (deg): 70.09 70.09 90.00
Positions (direct):
Tc 0.750 0.250 0.500
Tc 0.250 0.750 0.500
Cl 0.366 0.366 0.268
Cl 0.634 0.634 0.732
Y 0.000 0.000 0.000

# 12
Here is a relaxed YTcCl2 crystal from Alexandria. Energies are from GGA-PBE.

a b c (Å): 5.077 5.077 6.909
angles (deg): 60.50 60.50 42.19
Positions (direct):
Cl 0.114 0.114 0.324
Cl 0.019 0.019 0.874
Tc 0.562 0.562 0.585
Y 0.805 0.805 0.717

Number 1: raw formation energy -23.1 kJ per mole of atoms, energy above the most stable polymorph in this dataset 419 meV/atom. Number 2: raw formation energy 65.6 kJ per mole of atoms, energy above the most stable polymorph in this dataset 972 meV/atom. Number 3: raw formation energy 48.5 kJ per mole of atoms, energy above the most stable polymorph in this dataset 794 meV/atom. Number 4: raw formation energy -16.1 kJ per mole of atoms, energy above the most stable polymorph in this dataset 125 meV/atom. Number 5: raw formation energy 43.5 kJ per mole of atoms, energy above the most stable polymorph in this dataset 743 meV/atom. Number 6: raw formation energy -52.5 kJ per mole of atoms, energy above the most stable polymorph in this dataset 114 meV/atom. Number 7: raw formation energy -35.3 kJ per mole of atoms, energy above the most stable polymorph in this dataset 293 meV/atom. Number 8: raw formation energy -62.6 kJ per mole of atoms, energy above the most stable polymorph in this dataset 9 meV/atom. Number 9: raw formation energy 93.4 kJ per mole of atoms, energy above the most stable polymorph in this dataset 1260 meV/atom. Number 10: raw formation energy 30.8 kJ per mole of atoms, energy above the most stable polymorph in this dataset 610 meV/atom. Number 11: raw formation energy 32.1 kJ per mole of atoms, energy above the most stable polymorph in this dataset 84 meV/atom. Number 12: raw formation energy -47.7 kJ per mole of atoms, energy above the most stable polymorph in this dataset 164 meV/atom.